Record 1
Density functional theory data (PBE) for an optimized crystal structure of YZnAgBi2.

Lattice parameters (Å, degrees): 5.4362 5.4362 4.7935 90.00 90.00 90.00
Last column: nearest neighbours and their distance in Å.
Space group P4/mmm (No. 123)
One atom of each set of equivalent atoms:
Y  0.0000  0.0000  0.0000 [1 per cell]  8 Bi 3.62, 4 Ag 3.84
Zn  0.5000  0.5000  0.5000 [1 per cell]  2 Ag 2.40
Ag  0.5000  0.5000  0.0000 [1 per cell]  2 Zn 2.40
Bi  0.0000  0.5000  0.5000 [2 per cell]  2 Zn 2.72

Properties
volume: 141.66 Å³/cell
energy relative to the elements: 99 meV per atom
calculated density: 7.97 g cm⁻³
E_tot: -17.9 eV for the cell shown


Record 2
Density functional theory data (PBE) for an optimized crystal structure of Yb2AgBi.

Lattice parameters (Å, degrees): 7.5873 7.5873 7.5873 90.00 90.00 90.00
Last column: nearest neighbours and their distance in Å.
Space group Fm-3m (No. 225)
One atom of each set of equivalent atoms:
Yb  0.2500  0.2500  0.2500 [8 per cell]  4 Bi 3.29, 4 Ag 3.29
Ag  0.0000  0.0000  0.0000 [4 per cell]  8 Yb 3.29
Bi  0.0000  0.0000  0.5000 [4 per cell]  8 Yb 3.29

Properties
volume: 436.79 Å³/cell
energy relative to the elements: -620 meV per atom
calculated density: 10.08 g cm⁻³
E_tot: -49.1 eV for the cell shown


Record 3
Density functional theory data (PBE) for an optimized crystal structure of ZnAgBi.

Lattice parameters (Å, degrees): 8.3723 4.6881 8.0376 90.00 118.76 90.00
Last column: nearest neighbours and their distance in Å.
Space group C2/m (No. 12)
One atom of each set of equivalent atoms:
Zn  0.0222  0.0000  0.1785 [4 per cell]  1 Zn 2.71, 4 Ag 2.76-2.81, 2 Bi 2.93
Ag  0.1695  0.5000  0.8751 [4 per cell]  4 Zn 2.76-2.81, 2 Ag 2.96
Bi  0.2435  0.0000  0.6614 [4 per cell]  3 Zn 2.93-3.06, 3 Ag 3.13-3.14

Properties
volume: 276.57 Å³/cell
energy relative to the elements: 56 meV per atom
calculated density: 9.18 g cm⁻³
E_tot: -31.4 eV for the cell shown


Record 4
Density functional theory data (PBE) for an optimized crystal structure of ZnAgBi3.

Lattice parameters (Å, degrees): 5.3962 5.3962 5.3962 90.00 90.00 90.00
Last column: nearest neighbours and their distance in Å.
Space group Pm-3m (No. 221)
One atom of each set of equivalent atoms:
Zn  0.0000  0.0000  0.0000 [1 per cell]  6 Bi 2.70
Ag  0.5000  0.5000  0.5000 [1 per cell]  12 Bi 3.82
Bi  0.0000  0.0000  0.5000 [3 per cell]  2 Zn 2.70

Properties
volume: 157.13 Å³/cell
energy relative to the elements: 591 meV per atom
calculated density: 8.46 g cm⁻³
E_tot: -12.8 eV for the cell shown


Record 5
Density functional theory data (PBE) for an optimized crystal structure of ZnAg2Bi.

Lattice parameters (Å, degrees): 3.3616 3.3616 7.3008 90.00 90.00 90.00
Last column: nearest neighbours and their distance in Å.
Space group P4/mmm (No. 123)
One atom of each set of equivalent atoms:
Zn  0.0000  0.0000  0.0000 [1 per cell]  8 Ag 2.78
Ag  0.5000  0.5000  0.1981 [2 per cell]  4 Zn 2.78, 1 Ag 2.89
Bi  0.0000  0.0000  0.5000 [1 per cell]  8 Ag 3.24, 4 Bi 3.36

Properties
volume: 82.50 Å³/cell
energy relative to the elements: 59 meV per atom
calculated density: 9.86 g cm⁻³
E_tot: -10.6 eV for the cell shown


Record 6
Density functional theory data (PBE) for an optimized crystal structure of Zn4AgBi.

Lattice parameters (Å, degrees): 7.6277 7.6277 7.6277 90.00 90.00 90.00
Last column: nearest neighbours and their distance in Å.
Space group F-43m (No. 216)
One atom of each set of equivalent atoms:
Zn  0.1238  0.1238  0.1238 [16 per cell]  6 Zn 2.67-2.72
Ag  0.2500  0.2500  0.7500 [4 per cell]  12 Zn 3.16, 4 Bi 3.30
Bi  0.0000  0.0000  0.5000 [4 per cell]  12 Zn 3.16, 4 Ag 3.30

Properties
volume: 443.80 Å³/cell
energy relative to the elements: 94 meV per atom
calculated density: 8.66 g cm⁻³
E_tot: -45.1 eV for the cell shown